1.
# TiBePd2

A relaxed TiBePd2 crystal (PBE, Alexandria).

a = 6.6590 Å, b = 6.6590 Å, c = 5.4012 Å
α = 51.94°, β = 51.94°, γ = 90.00°
Last column: magnetic moment on the atom in μB.
Atoms (fractional coordinates):
Be: 0.5000 0.5000 0.0000  0.01
Be: 0.2500 0.7500 0.5000  0.01
Pd: 0.5637 0.1250 0.2500  0.01
Pd: 0.1863 0.6250 0.2500  0.01
Pd: 0.3750 0.4363 0.7500  0.01
Pd: 0.8750 0.8137 0.7500  0.01
Ti: 0.0000 0.0000 0.0000  0.41
Ti: 0.7500 0.2500 0.5000  0.39

Summary:
Spin magnetization = 0.51 μB per formula unit
Space group = I-42d, No. 122
E_tot = -45.6 eV for the cell shown
ΔE_f = -0.20 eV/atom



2.
# Ti2Be2Pd

A relaxed Ti2Be2Pd crystal (PBE, Alexandria).

a = 6.1699 Å, b = 6.1699 Å, c = 3.4017 Å
α = 90.00°, β = 90.00°, γ = 90.00°
Atoms (fractional coordinates):
Be: 0.3752 0.8752 0.0000
Be: 0.8752 0.6248 0.0000
Be: 0.6248 0.1248 0.0000
Be: 0.1248 0.3752 0.0000
Pd: 0.0000 0.0000 0.0000
Pd: 0.5000 0.5000 0.0000
Ti: 0.1698 0.6698 0.5000
Ti: 0.6698 0.8302 0.5000
Ti: 0.8302 0.3302 0.5000
Ti: 0.3302 0.1698 0.5000

Summary:
Spin magnetization = 0.00 μB per formula unit
Space group = P4/mbm, No. 127
E_tot = -60.6 eV for the cell shown
Energy above the lowest structure with this stoichiometry = 0.000 eV per atom
ΔE_f = -0.38 eV/atom